Record 1
The following is a PBE-GGA calculation of Ho2ThCd2In2 after structural relaxation, from Alexandria.

The calculation puts the formation energy at -114 kJ/mol of formula units. Its calculated volume is 566.7 Å³/cell. For the total magnetization, the calculation gives 0.00 μB/f.u.

It has space group R-3m (No. 166, hexagonal axes), with a = 4.9954 Å, b = 4.9954 Å, c = 26.2213 Å, α = 90.00°, β = 90.00° and γ = 120.00°. The inequivalent atoms are Ho at (0.0000, 0.0000, 0.1313), Th at (0.0000, 0.0000, 0.0000), Cd at (0.0000, 0.0000, 0.4184) and In at (0.0000, 0.0000, 0.2646).

Record 2
The following is a PBE-GGA calculation of HoTiCdIn after structural relaxation, from Alexandria.

The calculation puts the formation energy at -54 kJ/mol of formula units. Its calculated volume is 363.6 Å³/cell. For the total magnetization, the calculation gives 1.62 μB/f.u.

It has space group F-43m (No. 216), with a = 7.1377 Å, b = 7.1377 Å, c = 7.1377 Å, α = 90.00°, β = 90.00° and γ = 90.00°. The inequivalent atoms are Ho at (0.0000, 0.0000, 0.0000), Ti at (0.0000, 0.0000, 0.5000), Cd at (0.2500, 0.2500, 0.2500) and In at (0.2500, 0.2500, 0.7500).

Record 3
The following is a PBE-GGA calculation of Ho2TmCd2In2 after structural relaxation, from Alexandria.

The calculation puts the formation energy at -149 kJ/mol of formula units. Its calculated volume is 556.7 Å³/cell. For the total magnetization, the calculation gives 0.00 μB/f.u.

It has space group R-3m (No. 166, hexagonal axes), with a = 4.9263 Å, b = 4.9263 Å, c = 26.4894 Å, α = 90.00°, β = 90.00° and γ = 120.00°. The inequivalent atoms are Ho at (0.0000, 0.0000, 0.1277), Tm at (0.0000, 0.0000, 0.0000), Cd at (0.0000, 0.0000, 0.3939) and In at (0.0000, 0.0000, 0.2592).